RbGeBiPd2 | GGA-PBE | optimized geometry

a = 5.280 Å, b = 5.545 Å, c = 5.280 Å
α = 90.00°, β = 90.00°, γ = 90.00°
Sites, in units of the cell vectors:
Rb  0.500  0.500  0.500
Pd  0.000  0.000  0.500
Pd  0.500  0.000  0.000
Ge  0.000  0.500  0.000
Bi  0.000  0.000  0.000

Properties
E_form in kJ/mol of atoms: 27.4
E in eV per atom: -3.69


Pm2Nd6DyY | GGA-PBE | optimized geometry

a = 9.805 Å, b = 9.025 Å, c = 9.025 Å
α = 118.39°, β = 94.09°, γ = 94.09°
Sites, in units of the cell vectors:
Y  0.250  0.977  0.023
Y  0.750  0.023  0.977
Nd  0.382  0.501  0.290
Nd  0.311  0.985  0.429
Nd  0.882  0.290  0.501
Nd  0.689  0.015  0.571
Nd  0.554  0.757  0.123
Nd  0.189  0.571  0.015
Nd  0.446  0.243  0.877
Nd  0.946  0.877  0.243
Nd  0.811  0.429  0.985
Nd  0.118  0.710  0.499
Nd  0.618  0.499  0.710
Nd  0.054  0.123  0.757
Dy  0.250  0.409  0.591
Dy  0.750  0.591  0.409
Pm  0.457  0.804  0.700
Pm  0.543  0.196  0.300
Pm  0.043  0.300  0.196
Pm  0.957  0.700  0.804

Properties
E_form in kJ/mol of atoms: 10.8
E in eV per atom: -4.81


Er4Te3Se | GGA-PBE | optimized geometry

a = 4.245 Å, b = 7.390 Å, c = 7.390 Å
α = 109.48°, β = 90.00°, γ = 90.00°
Sites, in units of the cell vectors:
Te  0.000  0.000  0.500
Te  0.000  0.500  0.000
Te  0.500  0.500  0.500
Se  0.500  0.000  0.000
Er  0.500  0.768  0.232
Er  0.000  0.220  0.220
Er  0.000  0.780  0.780
Er  0.500  0.232  0.768

Properties
Formation energy (no corrections) in eV/f.u.: -10.7
Offset from the most stable computed form in meV/atom: 0.0
E in eV per atom: -5.23


ScSnOs3 | GGA-PBE | optimized geometry

a = 4.670 Å, b = 4.670 Å, c = 4.670 Å
α = 90.00°, β = 90.00°, γ = 90.00°
Sites, in units of the cell vectors:
Sn  0.500  0.500  0.500
Sc  0.000  0.000  0.000
Os  0.500  0.000  0.000
Os  0.000  0.500  0.000
Os  0.000  0.000  0.500

Properties
E_form in kJ/mol of atoms: 198.9
Offset from the most stable computed form in meV/atom: 144.7
E in eV per atom: -6.74


ZrTi2Pt | GGA-PBE | optimized geometry

a = 3.207 Å, b = 3.207 Å, c = 6.915 Å
α = 90.00°, β = 90.00°, γ = 90.00°
Sites, in units of the cell vectors:
Ti  0.000  0.000  0.776
Ti  0.000  0.000  0.224
Pt  0.500  0.500  0.000
Zr  0.500  0.500  0.500

Properties
E_form in kJ/mol of atoms: -46.9
Offset from the most stable computed form in meV/atom: 0.0
E in eV per atom: -8.08


BeCd2Pb | GGA-PBE | optimized geometry

a = 6.117 Å, b = 6.117 Å, c = 5.733 Å
α = 62.07°, β = 62.07°, γ = 27.99°
Sites, in units of the cell vectors:
Cd  0.046  0.046  0.953
Cd  0.454  0.454  0.547
Pb  0.250  0.250  0.250
Be  0.750  0.750  0.750

Properties
E_form in kJ/mol of atoms: 32.9
Offset from the most stable computed form in meV/atom: 39.8
E in eV per atom: -1.97


Ac2SiS6 | GGA-PBE | optimized geometry

a = 5.622 Å, b = 6.326 Å, c = 6.326 Å
α = 60.16°, β = 89.46°, γ = 89.46°
Sites, in units of the cell vectors:
Ac  0.239  0.332  0.332
Ac  0.761  0.668  0.668
S  0.769  0.657  0.172
S  0.764  0.173  0.173
S  0.231  0.343  0.828
S  0.769  0.172  0.657
S  0.236  0.827  0.827
S  0.231  0.828  0.343
Si  0.000  0.000  0.000

Properties
Formation energy (no corrections) in eV/f.u.: -10.6
E in eV per atom: -5.45


TlCr2Ir | GGA-PBE | optimized geometry

a = 4.813 Å, b = 4.813 Å, c = 4.907 Å
α = 76.52°, β = 76.52°, γ = 35.74°
Sites, in units of the cell vectors:
Cr  0.746  0.746  0.749
Cr  0.020  0.020  0.961
Ir  0.483  0.483  0.545
Tl  0.251  0.251  0.246

Properties
E_form in kJ/mol of atoms: 38.9
Offset from the most stable computed form in meV/atom: 28.5
E in eV per atom: -7.22


ZnSbMo2 | GGA-PBE | optimized geometry

a = 8.761 Å, b = 8.761 Å, c = 8.761 Å
α = 20.09°, β = 20.09°, γ = 20.09°
Sites, in units of the cell vectors:
Mo  0.001  0.001  0.001
Mo  0.499  0.499  0.499
Zn  0.750  0.750  0.750
Sb  0.250  0.250  0.250

Properties
Formation energy (no corrections) in eV/f.u.: 1.8
Offset from the most stable computed form in meV/atom: 328.4
E in eV per atom: -6.32


Sm3Tm5S8 | GGA-PBE | optimized geometry

a = 7.782 Å, b = 7.782 Å, c = 7.846 Å
α = 60.27°, β = 60.27°, γ = 60.00°
Sites, in units of the cell vectors:
Sm  0.500  0.000  0.500
Sm  0.000  0.000  0.500
Sm  0.000  0.500  0.500
S  0.261  0.750  0.239
S  0.739  0.250  0.761
S  0.750  0.750  0.239
S  0.250  0.250  0.761
S  0.256  0.256  0.233
S  0.744  0.744  0.767
S  0.750  0.261  0.239
S  0.250  0.739  0.761
Tm  0.000  0.000  0.000
Tm  0.500  0.500  0.500
Tm  0.500  0.500  0.000
Tm  0.500  0.000  0.000
Tm  0.000  0.500  0.000

Properties
Formation energy (no corrections) in eV/f.u.: -31.4
E in eV per atom: -6.31


Nd2Al2Ag3 | GGA-PBE | optimized geometry

a = 4.384 Å, b = 7.298 Å, c = 10.225 Å
α = 90.00°, β = 102.38°, γ = 90.00°
Sites, in units of the cell vectors:
Nd  0.155  0.250  0.310
Nd  0.059  0.750  0.117
Nd  0.845  0.750  0.690
Nd  0.941  0.250  0.883
Al  0.694  0.558  0.387
Al  0.306  0.058  0.613
Al  0.694  0.942  0.387
Al  0.306  0.442  0.613
Ag  0.776  0.250  0.551
Ag  0.436  0.942  0.871
Ag  0.564  0.058  0.129
Ag  0.564  0.442  0.129
Ag  0.224  0.750  0.449
Ag  0.436  0.558  0.871

Properties
E_form in kJ/mol of atoms: -28.2
Offset from the most stable computed form in meV/atom: 33.1
E in eV per atom: -3.95


In3SnIr | GGA-PBE | optimized geometry

a = 5.181 Å, b = 5.181 Å, c = 5.181 Å
α = 90.00°, β = 90.00°, γ = 90.00°
Sites, in units of the cell vectors:
Ir  0.000  0.000  0.000
In  0.000  0.500  0.000
In  0.500  0.000  0.000
In  0.000  0.000  0.500
Sn  0.500  0.500  0.500

Properties
E_form in kJ/mol of atoms: 9.3
Offset from the most stable computed form in meV/atom: 155.8
E in eV per atom: -4.12


Pr4DyHo2Tm | GGA-PBE | optimized geometry

a = 5.178 Å, b = 5.153 Å, c = 11.261 Å
α = 62.77°, β = 90.00°, γ = 90.00°
Sites, in units of the cell vectors:
Pr  0.500  0.749  0.251
Pr  0.000  0.249  0.251
Pr  0.000  0.751  0.749
Pr  0.500  0.251  0.749
Dy  0.500  0.500  0.000
Ho  0.500  0.000  0.500
Ho  0.000  0.000  0.000
Tm  0.000  0.500  0.500

Properties
E_form in kJ/mol of atoms: 1.7
E in eV per atom: -4.65


Co2SiIr | GGA-PBE | optimized geometry

a = 5.685 Å, b = 4.357 Å, c = 2.644 Å
α = 89.98°, β = 62.32°, γ = 120.76°
Sites, in units of the cell vectors:
Co  0.500  0.000  0.500
Co  0.000  0.000  0.000
Si  0.500  0.500  0.000
Ir  0.000  0.500  0.500

Properties
Formation energy (no corrections) in eV/f.u.: -0.9
E in eV per atom: -7.34


Ca2RuF | GGA-PBE | optimized geometry

a = 4.887 Å, b = 4.887 Å, c = 4.887 Å
α = 60.00°, β = 60.00°, γ = 60.00°
Sites, in units of the cell vectors:
Ca  0.750  0.750  0.750
Ca  0.250  0.250  0.250
Ru  0.500  0.500  0.500
F  0.000  0.000  0.000

Properties
Formation energy (no corrections) in eV/f.u.: -2.2
Offset from the most stable computed form in meV/atom: 363.0
E in eV per atom: -4.35


PrHo6Zn2 | GGA-PBE | optimized geometry

a = 4.923 Å, b = 4.923 Å, c = 10.667 Å
α = 90.00°, β = 90.00°, γ = 90.00°
Sites, in units of the cell vectors:
Ho  0.000  0.500  0.263
Ho  0.000  0.000  0.500
Ho  0.500  0.000  0.737
Ho  0.500  0.000  0.263
Ho  0.500  0.500  0.500
Ho  0.000  0.500  0.737
Zn  0.500  0.500  0.111
Zn  0.500  0.500  0.889
Pr  0.000  0.000  0.000

Properties
E_form in kJ/mol of atoms: -5.1
Offset from the most stable computed form in meV/atom: 85.2
E in eV per atom: -3.92


Tc2C | GGA-PBE | optimized geometry

a = 2.800 Å, b = 2.800 Å, c = 5.379 Å
α = 90.00°, β = 90.00°, γ = 120.00°
Sites, in units of the cell vectors:
Tc  0.000  0.000  0.763
Tc  0.000  0.000  0.237
C  0.333  0.667  0.500

Properties
E_form in kJ/mol of atoms: 52.1
Offset from the most stable computed form in meV/atom: 465.6
E in eV per atom: -9.45


ScCdNF2 | GGA-PBE | optimized geometry

a = 4.163 Å, b = 4.163 Å, c = 4.530 Å
α = 90.00°, β = 90.00°, γ = 90.00°
Sites, in units of the cell vectors:
F  0.500  0.000  0.000
F  0.000  0.500  0.000
Cd  0.000  0.000  0.000
N  0.000  0.000  0.500
Sc  0.500  0.500  0.500

Properties
Formation energy (no corrections) in eV/f.u.: -4.1
Offset from the most stable computed form in meV/atom: 1001.8
E in eV per atom: -4.68